No. 1
Here is a relaxed BaLiSbS3 crystal from Alexandria via LeMat-Bulk. Energies are from PBE.

Calculated values
The calculation puts the volume at 25.34 Å³ per atom. The raw formation energy comes out at -1.13 eV/atom.

a = 4.1174 Å, b = 8.5862 Å, c = 8.9405 Å
α = 105.85°, β = 90.00°, γ = 90.00°
Positions (direct):
Ba 0.2500 0.1994 0.2446
Ba 0.7500 0.8006 0.7554
S 0.7500 0.2034 0.5243
S 0.7500 0.4524 0.1669
S 0.2500 0.7966 0.4757
S 0.2500 0.5476 0.8331
S 0.7500 0.8856 0.1308
S 0.2500 0.1144 0.8692
Sb 0.2500 0.6722 0.1601
Sb 0.7500 0.3278 0.8399
Li 0.2500 0.0886 0.5933
Li 0.7500 0.9114 0.4067


No. 2
Here is a relaxed CuSnPO2 crystal from Alexandria via LeMat-Bulk. Energies are from PBE.

Calculated values
The calculation puts the volume at 13.85 Å³ per atom. The raw formation energy comes out at 0.01 eV/atom. Its polymorph energy (0 for the lowest one) is 0.142 eV/f.u.

a = 3.8556 Å, b = 3.8556 Å, c = 4.6590 Å
α = 90.00°, β = 90.00°, γ = 90.00°
Positions (direct):
Sn 0.5000 0.5000 0.5000
P 0.0000 0.0000 0.5000
Cu 0.0000 0.0000 0.0000
O 0.5000 0.0000 0.0000
O 0.0000 0.5000 0.0000


No. 3
Here is a relaxed In3AgS crystal from Alexandria via LeMat-Bulk. Energies are from PBE.

Calculated values
The calculation puts the volume at 29.07 Å³ per atom. The raw formation energy comes out at 0.21 eV/atom. Its polymorph energy (0 for the lowest one) is 0.000 eV/f.u.

a = 5.2577 Å, b = 5.2577 Å, c = 5.2577 Å
α = 90.00°, β = 90.00°, γ = 90.00°
Positions (direct):
Ag 0.0000 0.0000 0.0000
S 0.5000 0.5000 0.5000
In 0.5000 0.0000 0.0000
In 0.0000 0.5000 0.0000
In 0.0000 0.0000 0.5000